[1]
This record from Alexandria describes crystalline Rh2SI at its relaxed geometry. The functional is PBE.

Unit cell a=6.465 b=6.465 c=6.465 alpha=90.00 beta=90.00 gamma=90.00
Space group Fm-3m (No. 225)
Symmetry-distinct sites (fractional):
Rh  0.250  0.250  0.250 [8 per cell]
S  0.000  0.000  0.000 [4 per cell]
I  0.000  0.000  0.500 [4 per cell]

The offset from the most stable computed form is 0.4455 eV/atom. For the total energy, the calculation gives -4.66 eV/atom. The formation energy from raw total energies comes out at 437 meV/atom.

=====

[2]
This record from Alexandria describes crystalline Rh2SI at its relaxed geometry. The functional is PBE.

Unit cell a=5.025 b=5.025 c=13.529 alpha=90.00 beta=90.00 gamma=90.00
Space group I-42d (No. 122)
Symmetry-distinct sites (fractional):
Rh  0.156  0.250  0.125 [8 per cell]
S  0.000  0.000  0.000 [4 per cell]
I  0.000  0.000  0.500 [4 per cell]

The offset from the most stable computed form is 0.0000 eV/atom. For the total energy, the calculation gives -5.10 eV/atom. The formation energy from raw total energies comes out at -9 meV/atom.

=====

[3]
This record from Alexandria describes crystalline Rh2SI2 at its relaxed geometry. The functional is PBE.

Unit cell a=5.550 b=5.550 c=7.374 alpha=90.00 beta=90.00 gamma=90.00
Space group I4/mmm (No. 139)
Symmetry-distinct sites (fractional):
Rh  0.000  0.000  0.190 [4 per cell]
S  0.000  0.000  0.500 [2 per cell]
I  0.000  0.500  0.250 [4 per cell]

The offset from the most stable computed form is 0.0000 eV/atom. For the total energy, the calculation gives -3.96 eV/atom. The formation energy from raw total energies comes out at 424 meV/atom.

=====

[4]
This record from Alexandria describes crystalline RhSI2 at its relaxed geometry. The functional is PBE.

Unit cell a=7.267 b=7.267 c=8.367 alpha=90.00 beta=90.00 gamma=90.00
Space group I-42d (No. 122)
Symmetry-distinct sites (fractional):
Rh  0.000  0.000  0.000 [4 per cell]
S  0.000  0.000  0.500 [4 per cell]
I  0.211  0.250  0.125 [8 per cell]

The offset from the most stable computed form is 0.0000 eV/atom. For the total energy, the calculation gives -3.12 eV/atom. The formation energy from raw total energies comes out at 527 meV/atom.

=====

[5]
This record from Alexandria describes crystalline Sb2RhSI at its relaxed geometry. The functional is PBE.

Unit cell a=5.135 b=5.135 c=5.330 alpha=90.00 beta=90.00 gamma=90.00
Space group P4/mmm (No. 123)
Symmetry-distinct sites (fractional):
Sb  0.000  0.500  0.000 [2 per cell]
Rh  0.000  0.000  0.000 [1 per cell]
S  0.500  0.500  0.500 [1 per cell]
I  0.000  0.000  0.500 [1 per cell]

The offset from the most stable computed form is 0.0000 eV/atom. For the total energy, the calculation gives -3.75 eV/atom. The formation energy from raw total energies comes out at 500 meV/atom.

=====

[6]
This record from Alexandria describes crystalline Sb2RhSI at its relaxed geometry. The functional is PBE.

Unit cell a=5.115 b=5.115 c=5.361 alpha=90.00 beta=90.00 gamma=90.00
Space group P4/mmm (No. 123)
Symmetry-distinct sites (fractional):
Sb  0.000  0.500  0.000 [2 per cell]
Rh  0.000  0.000  0.500 [1 per cell]
S  0.500  0.500  0.000 [1 per cell]
I  0.500  0.500  0.500 [1 per cell]

The offset from the most stable computed form is 0.5153 eV/atom. For the total energy, the calculation gives -3.24 eV/atom. The formation energy from raw total energies comes out at 1015 meV/atom.

=====

[7]
This record from Alexandria describes crystalline ScRhS2I at its relaxed geometry. The functional is PBE.

Unit cell a=4.784 b=4.784 c=5.609 alpha=90.00 beta=90.00 gamma=90.00
Space group P4/mmm (No. 123)
Symmetry-distinct sites (fractional):
Sc  0.000  0.000  0.000 [1 per cell]
Rh  0.000  0.000  0.500 [1 per cell]
S  0.000  0.500  0.000 [2 per cell]
I  0.500  0.500  0.500 [1 per cell]

For the total energy, the calculation gives -4.52 eV/atom. The formation energy from raw total energies comes out at 180 meV/atom.

=====

[8]
This record from Alexandria describes crystalline Sm6Rh2SI3 at its relaxed geometry. The functional is PBE.

Unit cell a=7.265 b=12.556 c=8.244 alpha=90.00 beta=106.96 gamma=90.00
Space group C2/m (No. 12)
Symmetry-distinct sites (fractional):
Sm  0.214  0.000  0.185 [4 per cell]
Sm  0.236  0.326  0.185 [8 per cell]
Rh  0.000  0.167  0.000 [4 per cell]
S  0.000  0.500  0.000 [2 per cell]
I  0.000  0.000  0.500 [2 per cell]
I  0.000  0.336  0.500 [4 per cell]

For the total energy, the calculation gives -5.40 eV/atom. The formation energy from raw total energies comes out at -1085 meV/atom.

=====

[9]
This record from Alexandria describes crystalline SnRhSI2 at its relaxed geometry. The functional is PBE.

Unit cell a=5.323 b=5.323 c=5.254 alpha=90.00 beta=90.00 gamma=90.00
Space group P4/mmm (No. 123)
Symmetry-distinct sites (fractional):
Sn  0.000  0.000  0.000 [1 per cell]
Rh  0.000  0.000  0.500 [1 per cell]
S  0.500  0.500  0.000 [1 per cell]
I  0.000  0.500  0.500 [2 per cell]

For the total energy, the calculation gives -3.31 eV/atom. The formation energy from raw total energies comes out at 408 meV/atom.

=====

[10]
This record from Alexandria describes crystalline Sr6Rh2SI3 at its relaxed geometry. The functional is PBE.

Unit cell a=7.698 b=13.344 c=8.424 alpha=90.00 beta=107.81 gamma=90.00
Space group C2/m (No. 12)
Symmetry-distinct sites (fractional):
Sr  0.226  0.000  0.193 [4 per cell]
Sr  0.234  0.331  0.194 [8 per cell]
Rh  0.000  0.167  0.000 [4 per cell]
S  0.000  0.500  0.000 [2 per cell]
I  0.000  0.000  0.500 [2 per cell]
I  0.000  0.336  0.500 [4 per cell]

For the total energy, the calculation gives -3.88 eV/atom. The formation energy from raw total energies comes out at -1086 meV/atom.

=====

[11]
This record from Alexandria describes crystalline Sb2Rh2I at its relaxed geometry. The functional is PBE.

Unit cell a=4.013 b=4.013 c=16.185 alpha=90.00 beta=90.00 gamma=90.00
Space group I4/mmm (No. 139)
Symmetry-distinct sites (fractional):
Sb  0.000  0.000  0.146 [4 per cell]
Rh  0.000  0.500  0.250 [4 per cell]
I  0.000  0.000  0.500 [2 per cell]

The offset from the most stable computed form is 0.0000 eV/atom. For the total energy, the calculation gives -5.11 eV/atom. The formation energy from raw total energies comes out at -206 meV/atom.

=====

[12]
This record from Alexandria describes crystalline SbRh2I at its relaxed geometry. The functional is PBE.

Unit cell a=5.736 b=5.736 c=12.774 alpha=90.00 beta=90.00 gamma=90.00
Space group I-42d (No. 122)
Symmetry-distinct sites (fractional):
Sb  0.000  0.000  0.000 [4 per cell]
Rh  0.240  0.250  0.125 [8 per cell]
I  0.000  0.000  0.500 [4 per cell]

The offset from the most stable computed form is 0.0000 eV/atom. For the total energy, the calculation gives -4.92 eV/atom. The formation energy from raw total energies comes out at 172 meV/atom.